CdIn3Ga3, relaxed, DFT PBE; size of the total moment = 0.00 Bohr magnetons per cell; distance to the lowest polymorph of the same formula = 2.263 eV per formula unit
1.0
7.708 0.000 0.000
0.000 7.708 0.000
0.000 0.000 7.708
Cd In Ga
2 6 6
Direct
0.000 0.000 0.000 Cd
0.500 0.500 0.500 Cd
0.000 0.250 0.500 In
0.000 0.750 0.500 In
0.250 0.500 0.000 In
0.500 0.000 0.250 In
0.500 0.000 0.750 In
0.750 0.500 0.000 In
0.000 0.500 0.250 Ga
0.000 0.500 0.750 Ga
0.250 0.000 0.500 Ga
0.500 0.250 0.000 Ga
0.500 0.750 0.000 Ga
0.750 0.000 0.500 Ga



Ca2AlGa6Ag, relaxed, DFT PBE; size of the total moment = 0.00 Bohr magnetons per cell; electronic total energy = -30.15 eV/f.u.
1.0
3.267 1.886 12.217
-3.267 1.886 12.217
0.000 -3.773 12.217
Ca Al Ga Ag
4 2 12 2
Direct
0.137 0.137 0.137 Ca
0.306 0.306 0.306 Ca
0.694 0.694 0.694 Ca
0.863 0.863 0.863 Ca
0.000 0.000 0.000 Al
0.500 0.500 0.500 Al
0.054 0.653 0.653 Ga
0.191 0.191 0.789 Ga
0.191 0.789 0.191 Ga
0.211 0.809 0.809 Ga
0.347 0.347 0.946 Ga
0.347 0.946 0.347 Ga
0.653 0.054 0.653 Ga
0.653 0.653 0.054 Ga
0.789 0.191 0.191 Ga
0.809 0.211 0.809 Ga
0.809 0.809 0.211 Ga
0.946 0.347 0.347 Ga
0.419 0.419 0.419 Ag
0.581 0.581 0.581 Ag



Re4AsOs, relaxed, DFT PBE; size of the total moment = 0.00 Bohr magnetons per cell; electronic total energy = -60.44 eV/f.u.
1.0
0.000 3.662 3.662
3.662 0.000 3.662
3.662 3.662 0.000
Re As Os
4 1 1
Direct
0.125 0.125 0.125 Re
0.125 0.125 0.626 Re
0.125 0.626 0.125 Re
0.626 0.125 0.125 Re
0.750 0.750 0.750 As
0.500 0.500 0.500 Os



Rb2ZrAuO4, relaxed, DFT PBE; size of the total moment = 1.83 Bohr magnetons per cell; electronic total energy = -46.78 eV/f.u.
1.0
6.538 0.000 0.000
0.000 6.538 0.000
0.000 0.000 7.377
Rb Zr Au O
4 2 2 8
Direct
0.000 0.000 0.000 Rb
0.000 0.500 0.250 Rb
0.500 0.000 0.750 Rb
0.500 0.500 0.500 Rb
0.000 0.000 0.500 Zr
0.500 0.500 0.000 Zr
0.000 0.500 0.750 Au
0.500 0.000 0.250 Au
0.133 0.794 0.663 O
0.206 0.133 0.337 O
0.294 0.367 0.837 O
0.367 0.706 0.163 O
0.633 0.294 0.163 O
0.706 0.633 0.837 O
0.794 0.867 0.337 O
0.867 0.206 0.663 O



Ac2BeN, relaxed, DFT PBE; size of the total moment = 0.00 Bohr magnetons per cell; electronic total energy = -19.45 eV/f.u.
1.0
3.771 0.000 0.000
-1.886 3.266 0.000
0.000 0.000 28.293
Ac Be N
6 3 3
Direct
0.000 0.000 0.113 Ac
0.000 0.000 0.887 Ac
0.333 0.667 0.553 Ac
0.333 0.667 0.780 Ac
0.667 0.333 0.220 Ac
0.667 0.333 0.447 Ac
0.000 0.000 0.000 Be
0.333 0.667 0.667 Be
0.667 0.333 0.333 Be
0.000 0.000 0.500 N
0.333 0.667 0.167 N
0.667 0.333 0.833 N



DyY3Au2, relaxed, DFT PBE; size of the total moment = 0.00 Bohr magnetons per cell; distance to the lowest polymorph of the same formula = 0.000 eV per formula unit
1.0
4.986 0.000 0.000
0.000 8.989 0.000
0.000 0.000 7.115
Dy Y Au
2 6 4
Direct
0.000 0.075 0.000 Dy
0.000 0.925 0.500 Dy
0.000 0.331 0.636 Y
0.000 0.669 0.136 Y
0.500 0.167 0.338 Y
0.500 0.427 0.974 Y
0.500 0.573 0.474 Y
0.500 0.833 0.838 Y
0.000 0.348 0.227 Au
0.000 0.652 0.727 Au
0.500 0.152 0.747 Au
0.500 0.848 0.247 Au



AcPmNpO6, relaxed, DFT PBE; size of the total moment = 2.00 Bohr magnetons per cell; electronic total energy = -79.37 eV/f.u.
1.0
6.116 0.000 0.000
-3.058 5.297 0.000
0.000 0.000 9.214
Ac Pm Np O
2 2 2 12
Direct
0.333 0.667 0.250 Ac
0.667 0.333 0.750 Ac
0.000 0.000 0.000 Pm
0.000 0.000 0.500 Pm
0.333 0.667 0.750 Np
0.667 0.333 0.250 Np
0.052 0.369 0.630 O
0.052 0.683 0.870 O
0.317 0.369 0.870 O
0.317 0.948 0.630 O
0.369 0.052 0.130 O
0.369 0.317 0.370 O
0.631 0.683 0.630 O
0.631 0.948 0.870 O
0.683 0.052 0.370 O
0.683 0.631 0.130 O
0.948 0.317 0.130 O
0.948 0.631 0.370 O



RbBaCu2F8, relaxed, DFT PBE; size of the total moment = 1.01 Bohr magnetons per cell; electronic total energy = -53.51 eV/f.u.
1.0
-3.032 3.032 5.292
3.032 -3.032 5.292
3.032 3.032 -5.292
Rb Ba Cu F
1 1 2 8
Direct
0.000 0.000 0.000 Rb
0.250 0.750 0.500 Ba
0.500 0.500 0.000 Cu
0.750 0.250 0.500 Cu
0.020 0.355 0.901 F
0.219 0.484 0.671 F
0.451 0.781 0.265 F
0.454 0.119 0.099 F
0.516 0.187 0.735 F
0.645 0.546 0.665 F
0.813 0.549 0.329 F
0.881 0.980 0.335 F